Below is a relaxed TaSiCl2 crystal, with properties calculated at the PBE level.

Cell: 2.9559 4.7892 14.9726 Å, 90.00 90.00 90.00°
Space group Imm2 (No. 44)
One atom of each set of equivalent atoms:
Ta 0.0000 0.0000 0.0000 x2
Si 0.0000 0.5000 0.6480 x2
Cl 0.0000 0.0000 0.5127 x2
Cl 0.0000 0.5000 0.3681 x2

Output
For the formation energy (no corrections), the calculation gives 7.2 kJ per mole of atoms. The value obtained for the energy is -5.17 eV per atom. For the density of states at the Fermi level, the calculation gives 7.4 states/eV/cell.